DFT (PBE-GGA) results for a relaxed structure of SrAcZnHg.

## Properties
Excess energy over the best structure of this formula in the dataset, eV/atom: 0.007
Magnetic moment, μB/atom: 0.00
Density, g/cm³: 7.67

Lattice parameters (Å, degrees): 3.9720 3.9720 7.9710 90.00 90.00 90.00
Last column: nearest neighbours and their distance in Å.
Space group P4mm (No. 99)
Symmetry-distinct sites (fractional):
Sr: 0.0000 0.0000 0.0000 (multiplicity 1)  4 Zn 3.45, 4 Hg 3.47, 1 Ac 3.86
Ac: 0.0000 0.0000 0.5155 (multiplicity 1)  4 Zn 3.37, 4 Hg 3.48
Zn: 0.5000 0.5000 0.7481 (multiplicity 1)  4 Ac 3.37, 4 Sr 3.45
Hg: 0.5000 0.5000 0.2567 (multiplicity 1)  4 Sr 3.47, 4 Ac 3.48